NiTeOs2 (GGA-PBE, relaxed); VASP energy = -28.62 eV/f.u.; SG = I-4m2, No. 119
1.0
-4.696 0.556 0.841
-2.164 -4.277 -0.308
3.870 1.439 2.454
Os Te Ni
2 1 1
direct
0.750 0.250 0.500 Os
0.000 0.000 0.000 Os
0.500 0.500 0.000 Te
0.250 0.750 0.500 Ni


NaCuGe2As (GGA-PBE, relaxed); VASP energy = -13.19 eV/f.u.; SG = P4/mmm, No. 123; ΔH_f (0 K) = 1222 meV per atom
1.0
-1.947 4.464 1.084
-4.055 -1.120 -2.671
-2.149 -1.926 4.071
Ge Na Cu As
2 1 1 1
direct
0.500 0.000 0.000 Ge
0.000 0.000 0.500 Ge
0.000 0.000 0.000 Na
0.500 0.500 0.500 Cu
0.000 0.500 0.000 As


RbLaBe2 (GGA-PBE, relaxed); offset from the most stable computed form = 0.250 eV/atom; VASP energy = -8.64 eV/f.u.; SG = I-42d, No. 122; ΔH_f (0 K) = 1176 meV per atom
1.0
8.379 0.000 0.000
0.000 8.379 0.000
4.189 4.189 3.563
La Be Rb
2 4 2
direct
0.000 0.000 0.000 La
0.750 0.250 0.500 La
0.375 0.339 0.750 Be
0.875 0.911 0.750 Be
0.089 0.625 0.250 Be
0.661 0.125 0.250 Be
0.500 0.500 0.000 Rb
0.250 0.750 0.500 Rb


SrNdAgHg (GGA-PBE, relaxed); offset from the most stable computed form = 0.000 eV/atom; VASP energy = -11.13 eV/f.u.; SG = P4mm, No. 99; ΔH_f (0 K) = -382 meV per atom
1.0
3.875 0.000 0.000
0.000 3.875 0.000
0.000 0.000 7.784
Hg Nd Sr Ag
1 1 1 1
direct
0.500 0.500 0.129 Hg
0.000 0.000 0.363 Nd
0.000 0.000 0.854 Sr
0.500 0.500 0.581 Ag


Rb2NaBBr6 (GGA-PBE, relaxed); VASP energy = -28.80 eV/f.u.; SG = I4/mmm, No. 139
1.0
7.382 0.000 0.000
0.000 7.382 0.000
3.691 3.691 5.869
Br Na B Rb
6 1 1 2
direct
0.238 0.238 0.525 Br
0.762 0.762 0.475 Br
0.291 0.709 0.000 Br
0.709 0.291 0.000 Br
0.709 0.709 0.000 Br
0.291 0.291 0.000 Br
0.000 0.000 0.000 Na
0.500 0.500 0.000 B
0.750 0.250 0.500 Rb
0.250 0.750 0.500 Rb


La7PrSm12 (GGA-PBE, relaxed); VASP energy = -91.77 eV/f.u.; SG = R-3, No. 148; ΔH_f (0 K) = 206 meV per atom
1.0
-7.970 2.668 3.082
-4.090 -7.402 -2.938
1.126 -4.233 7.807
La Sm Pr
7 12 1
direct
0.500 0.500 0.500 La
0.079 0.158 0.394 La
0.606 0.921 0.842 La
0.158 0.394 0.079 La
0.842 0.606 0.921 La
0.921 0.842 0.606 La
0.394 0.079 0.158 La
0.256 0.722 0.856 Sm
0.619 0.134 0.494 Sm
0.744 0.278 0.144 Sm
0.134 0.494 0.619 Sm
0.866 0.506 0.381 Sm
0.278 0.144 0.744 Sm
0.506 0.381 0.866 Sm
0.144 0.744 0.278 Sm
0.722 0.856 0.256 Sm
0.856 0.256 0.722 Sm
0.381 0.866 0.506 Sm
0.494 0.619 0.134 Sm
0.000 0.000 0.000 Pr